(1)
The following is a PBE-GGA calculation of crystalline AcLa2Tb2Pr2 at its relaxed geometry, from Alexandria via LeMat-Bulk.

The structure in CIF format:
```
data_AcLa2Tb2Pr2
_chemical_formula_sum 'Ac1 La2 Tb2 Pr2'
_cell_length_a 5.2222
_cell_length_b 6.4417
_cell_length_c 8.3738
_cell_angle_alpha 97.27
_cell_angle_beta 90.00
_cell_angle_gamma 113.91
_symmetry_space_group_name_H-M 'P 1'
_symmetry_Int_Tables_number 1
loop_
_symmetry_equiv_pos_as_xyz
'x,y,z'
loop_
_atom_site_label
_atom_site_type_symbol
_atom_site_fract_x
_atom_site_fract_y
_atom_site_fract_z
Tb1 Tb 0.4272 0.8543 0.2903
Tb2 Tb 0.5728 0.1457 0.7097
Pr1 Pr 0.2844 0.5687 0.8529
La1 La 0.8591 0.7183 0.5692
Ac1 Ac 0.0000 0.0000 0.0000
Pr2 Pr 0.7156 0.4313 0.1471
La2 La 0.1409 0.2817 0.4308
```

- E_form (eV/atom) = 0.033
- space group = C2/m, No. 12
- spin magnetization (μB per atom) = 0.00

(2)
The following is a PBE-GGA calculation of crystalline YHf2B at its relaxed geometry, from Alexandria via LeMat-Bulk.

The structure in CIF format:
```
data_YHf2B
_chemical_formula_sum 'Y1 Hf2 B1'
_cell_length_a 4.7322
_cell_length_b 4.7322
_cell_length_c 4.7322
_cell_angle_alpha 60.00
_cell_angle_beta 60.00
_cell_angle_gamma 60.00
_symmetry_space_group_name_H-M 'P 1'
_symmetry_Int_Tables_number 1
loop_
_symmetry_equiv_pos_as_xyz
'x,y,z'
loop_
_atom_site_label
_atom_site_type_symbol
_atom_site_fract_x
_atom_site_fract_y
_atom_site_fract_z
B1 B 0.0000 0.0000 0.0000
Y1 Y 0.5000 0.5000 0.5000
Hf1 Hf 0.2500 0.2500 0.2500
Hf2 Hf 0.7500 0.7500 0.7500
```

- E_form (eV/atom) = 0.797
- space group = Fm-3m, No. 225
- spin magnetization (μB per atom) = 0.00
- ΔE to the lowest computed polymorph (meV per atom) = 560

(3)
The following is a PBE-GGA calculation of crystalline Y2AgPb at its relaxed geometry, from Alexandria via LeMat-Bulk.

The structure in CIF format:
```
data_Y2AgPb
_chemical_formula_sum 'Y2 Ag1 Pb1'
_cell_length_a 6.2272
_cell_length_b 6.2272
_cell_length_c 6.2272
_cell_angle_alpha 138.27
_cell_angle_beta 138.27
_cell_angle_gamma 60.49
_symmetry_space_group_name_H-M 'P 1'
_symmetry_Int_Tables_number 1
loop_
_symmetry_equiv_pos_as_xyz
'x,y,z'
loop_
_atom_site_label
_atom_site_type_symbol
_atom_site_fract_x
_atom_site_fract_y
_atom_site_fract_z
Y1 Y 0.2500 0.7500 0.5000
Y2 Y 0.0000 0.0000 0.0000
Ag1 Ag 0.5000 0.5000 0.0000
Pb1 Pb 0.7500 0.2500 0.5000
```

- E_form (eV/atom) = -0.332
- space group = I-4m2, No. 119
- spin magnetization (μB per atom) = 0.00